DFT (PBE) results for crystalline La5SmGa6 at its relaxed geometry.

For the formation energy, the calculation gives -55 kJ per mole of atoms. Its density of states at the Fermi level is 7.748 states/eV/f.u.

```
data_La5SmGa6
_chemical_formula_sum 'La5 Sm1 Ga6'
_cell_length_a 5.302
_cell_length_b 7.498
_cell_length_c 8.397
_cell_angle_alpha 90.00
_cell_angle_beta 108.25
_cell_angle_gamma 90.00
_symmetry_space_group_name_H-M 'P 1 2/m 1'
_symmetry_Int_Tables_number 10
_symmetry_space_group_name_Hall '-P 2y'
loop_
_atom_site_label
_atom_site_fract_x
_atom_site_fract_y
_atom_site_fract_z
La1 0.000 0.000 0.000
La2 0.330 0.000 0.660
La3 0.334 0.500 0.667
Sm1 0.000 0.500 0.000
Ga1 0.163 0.256 0.326
Ga2 0.500 0.254 0.000
```